Run one
The following is a DFT calculation (PBE-GGA) of an optimized crystal structure of BeSi2F.

The structure in POSCAR format:
```
BeSi2F
1.0
-0.846 2.189 1.436
2.628 -3.651 7.113
4.429 2.083 -0.567
Si F Be
4 2 2
Cartesian
2.530 -2.844 5.825
4.918 -2.054 6.027
0.635 -0.221 0.711
3.034 0.574 0.912
4.490 0.928 3.867
2.238 -0.062 4.049
3.115 0.856 3.165
1.482 -0.994 5.024
```

Properties
Spin magnetization   0.00 μB per cell

---

Run two
The following is a DFT calculation (PBE-GGA) of an optimized crystal structure of BeSi2F.

The structure in POSCAR format:
```
BeSi2F
1.0
2.766 0.000 0.000
0.000 18.591 0.000
0.000 0.000 4.495
Si F Be
8 4 4
Cartesian
0.691 1.872 0.167
0.691 0.974 2.417
2.074 11.168 2.414
2.074 10.270 0.170
2.074 16.719 0.167
0.691 7.423 2.414
0.691 8.321 0.170
2.074 17.617 2.417
2.074 5.045 4.162
0.691 14.341 1.914
0.691 13.546 4.162
2.074 4.250 1.914
0.691 13.010 2.710
2.074 5.581 2.710
2.074 3.714 0.462
0.691 14.877 0.462
```

Properties
Spin magnetization   0.00 μB per cell

---

Run three
The following is a DFT calculation (PBE-GGA) of an optimized crystal structure of BeSi2F.

The structure in POSCAR format:
```
BeSi2F
1.0
-4.468 -1.857 0.713
7.841 -16.526 6.076
3.299 2.221 1.783
Si F Be
8 4 4
Cartesian
5.587 -9.039 5.056
3.527 -9.290 3.851
0.093 -7.684 3.274
2.148 -7.434 4.484
0.016 -1.886 1.127
5.663 -14.837 7.204
1.256 0.084 1.705
4.419 -16.807 6.631
3.791 -13.362 5.194
5.878 -12.124 4.724
3.607 -2.750 2.577
1.520 -3.989 3.048
0.067 -3.386 2.906
5.363 -13.499 5.309
3.092 -4.125 3.163
2.337 -12.759 5.052
```

Properties
Spin magnetization   0.00 μB per cell

---

Run four
The following is a DFT calculation (PBE-GGA) of an optimized crystal structure of BeSi2F.

The structure in POSCAR format:
```
BeSi2F
1.0
0.000 2.862 2.862
2.862 0.000 2.862
2.862 2.862 0.000
F Be Si
1 1 2
Cartesian
2.862 2.862 2.862
0.000 0.000 0.000
1.431 1.431 1.431
4.293 4.293 4.293
```

Properties
Spin magnetization   0.00 μB per cell

---

Most stable structure, least stable structure: run two, run four.

---

Run one
The following is a DFT calculation (PBE-GGA) of an optimized crystal structure of BeSiF2.

The structure in POSCAR format:
```
BeSiF2
1.0
1.101 1.456 4.837
0.223 5.024 1.200
-3.671 2.116 2.962
F Si Be
4 2 2
Cartesian
-1.579 2.861 5.024
-2.017 4.644 3.205
0.369 4.314 4.143
-1.467 5.372 5.624
-0.587 2.149 2.250
0.000 0.000 0.000
-1.760 6.447 6.749
-1.173 4.298 4.499
```

Properties
Spin magnetization   0.00 μB per cell

---

Run two
The following is a DFT calculation (PBE-GGA) of an optimized crystal structure of BeSiF2.

The structure in POSCAR format:
```
BeSiF2
1.0
0.000 2.923 2.923
2.923 0.000 2.923
2.923 2.923 0.000
Be F Si
1 2 1
Cartesian
0.000 0.000 0.000
4.384 4.384 4.384
1.461 1.461 1.461
2.923 2.923 2.923
```

Properties
Spin magnetization   0.00 μB per cell

---

Most stable structure, least stable structure: run one, run two.

---

Run one
The following is a DFT calculation (PBE-GGA) of an optimized crystal structure of BeSiF2.

The structure in POSCAR format:
```
BeSiF2
1.0
10.114 0.070 0.041
9.703 2.857 0.041
9.703 1.433 2.472
F Be Si
2 1 1
Cartesian
28.166 4.159 2.436
1.355 0.200 0.117
0.000 0.000 0.000
14.760 2.180 1.277
```

Properties
Spin magnetization   0.00 μB per cell

---

Run two
The following is a DFT calculation (PBE-GGA) of an optimized crystal structure of BeSiF2.

The structure in POSCAR format:
```
BeSiF2
1.0
10.025 0.074 0.043
9.678 2.616 0.043
9.678 1.321 2.258
F Si Be
2 1 1
Cartesian
3.993 0.545 0.319
25.387 3.467 2.026
0.000 0.000 0.000
14.690 2.006 1.173
```

Properties
Spin magnetization   0.11 μB per cell

---

Most stable structure, least stable structure: run two, run one.

---

Run one
The following is a DFT calculation (PBE-GGA) of an optimized crystal structure of BeSi3F.

The structure in POSCAR format:
```
BeSi3F
1.0
-1.806 1.834 -3.420
-3.557 0.727 2.268
1.552 3.799 1.218
Be Si F
1 3 1
Cartesian
0.000 0.000 0.000
0.776 1.900 0.609
-0.903 0.917 -1.710
-1.779 0.363 1.134
-1.905 3.180 0.033
```

Properties
Spin magnetization   0.00 μB per cell

---

Run two
The following is a DFT calculation (PBE-GGA) of an optimized crystal structure of BeSi3F.

The structure in POSCAR format:
```
BeSi3F
1.0
4.309 0.000 0.000
0.000 4.309 0.000
0.000 0.000 4.309
F Be Si
1 1 3
Cartesian
0.000 0.000 0.000
2.155 2.155 2.155
2.155 0.000 0.000
0.000 0.000 2.155
0.000 2.155 0.000
```

Properties
Spin magnetization   0.00 μB per cell

---

Most stable structure, least stable structure: run one, run two.

---

Run one
The following is a DFT calculation (PBE-GGA) of an optimized crystal structure of Be3SiF.

The structure in POSCAR format:
```
Be3SiF
1.0
4.178 0.000 0.000
0.000 4.178 0.000
0.000 0.000 4.178
Be Si F
3 1 1
Cartesian
2.089 0.000 0.000
0.000 2.089 0.000
0.000 0.000 2.089
0.000 0.000 0.000
2.089 2.089 2.089
```

Properties
Spin magnetization   0.00 μB per cell

---

Run two
The following is a DFT calculation (PBE-GGA) of an optimized crystal structure of Be3SiF.

The structure in POSCAR format:
```
Be3SiF
1.0
3.743 0.000 0.000
0.000 3.743 0.000
0.000 0.000 3.743
Si Be F
1 3 1
Cartesian
1.871 1.871 1.871
0.000 0.000 1.871
0.000 1.871 0.000
1.871 0.000 0.000
0.000 0.000 0.000
```

Properties
Spin magnetization   0.00 μB per cell

---

Most stable structure, least stable structure: run two, run one.

---

Run one
The following is a DFT calculation (PBE-GGA) of an optimized crystal structure of Be2SnF.

The structure in POSCAR format:
```
Be2SnF
1.0
2.605 -1.313 3.164
2.001 2.893 2.480
-1.183 0.499 4.108
F Be Sn
1 2 1
Cartesian
0.000 0.000 0.000
2.568 1.559 7.313
0.856 0.520 2.438
1.712 1.039 4.876
```

Properties
Spin magnetization   0.00 μB per cell

---

Run two
The following is a DFT calculation (PBE-GGA) of an optimized crystal structure of Be2SnF.

The structure in POSCAR format:
```
Be2SnF
1.0
-1.155 3.116 2.936
-4.276 -0.690 -0.950
-2.979 -2.636 4.975
Be Sn F
4 2 2
Cartesian
-3.836 0.040 1.715
-1.726 0.461 2.262
-5.287 -1.231 4.250
-5.970 0.310 5.695
-3.425 0.847 4.452
0.000 0.000 0.000
-4.985 -1.057 2.509
-2.716 1.213 0.993
```

Properties
Spin magnetization   0.00 μB per cell

---

Most stable structure, least stable structure: run two, run one.

---

Run one
The following is a DFT calculation (PBE-GGA) of an optimized crystal structure of SrBeF2.

The structure in POSCAR format:
```
SrBeF2
1.0
2.098 2.060 3.409
-1.229 4.155 1.218
-2.152 0.659 3.898
F Be Sr
2 1 1
Cartesian
-0.963 5.155 6.394
-0.321 1.718 2.131
0.000 0.000 0.000
-0.642 3.437 4.262
```

Properties
Spin magnetization   0.00 μB per cell

---

Run two
The following is a DFT calculation (PBE-GGA) of an optimized crystal structure of SrBeF2.

The structure in POSCAR format:
```
SrBeF2
1.0
-1.550 3.976 3.220
-3.535 0.352 3.996
0.442 0.882 5.254
Sr F Be
1 2 1
Cartesian
-2.321 2.605 6.235
-4.129 4.634 11.091
-0.513 0.576 1.379
0.000 0.000 0.000
```

Properties
Spin magnetization   0.00 μB per cell

---

Most stable structure, least stable structure: run two, run one.

---

Run one
The following is a DFT calculation (PBE-GGA) of an optimized crystal structure of TaBe3F.

The structure in POSCAR format:
```
TaBe3F
1.0
4.752 0.000 0.000
0.000 4.752 0.000
0.000 0.000 4.752
F Ta Be
1 1 3
Cartesian
2.376 2.376 2.376
0.000 0.000 0.000
2.376 0.000 0.000
0.000 2.376 0.000
0.000 0.000 2.376
```

Properties
Spin magnetization   1.50 μB per cell

---

Run two
The following is a DFT calculation (PBE-GGA) of an optimized crystal structure of TaBe3F.

The structure in POSCAR format:
```
TaBe3F
1.0
-3.135 -0.369 -2.122
-2.100 -0.310 3.156
-0.479 3.773 0.052
Be Ta F
3 1 1
Cartesian
-1.567 -0.184 -1.061
-1.050 -0.155 1.578
-0.239 1.886 0.026
-2.857 1.547 0.543
0.000 0.000 0.000
```

Properties
Spin magnetization   0.00 μB per cell

---

Most stable structure, least stable structure: run two, run one.

---

Run one
The following is a DFT calculation (PBE-GGA) of an optimized crystal structure of TaBeF3.

The structure in POSCAR format:
```
TaBeF3
1.0
4.231 0.000 0.000
0.000 4.231 0.000
0.000 0.000 4.231
Ta F Be
1 3 1
Cartesian
0.000 0.000 0.000
2.115 0.000 0.000
0.000 2.115 0.000
0.000 0.000 2.115
2.115 2.115 2.115
```

Properties
Spin magnetization   2.00 μB per cell

---

Run two
The following is a DFT calculation (PBE-GGA) of an optimized crystal structure of TaBeF3.

The structure in POSCAR format:
```
TaBeF3
1.0
3.835 0.000 0.000
0.000 3.835 0.000
0.000 0.000 3.835
F Be Ta
3 1 1
Cartesian
0.000 0.000 1.918
1.918 0.000 0.000
0.000 1.918 0.000
0.000 0.000 0.000
1.918 1.918 1.918
```

Properties
Spin magnetization   3.66 μB per cell

---

Most stable structure, least stable structure: run one, run two.

---

Run one
The following is a DFT calculation (PBE-GGA) of an optimized crystal structure of BeTc2F.

The structure in POSCAR format:
```
BeTc2F
1.0
-6.156 -1.755 -1.385
0.821 -5.548 3.382
-3.424 -2.558 2.976
Be Tc F
2 4 2
Cartesian
-2.635 -5.879 3.678
-2.667 -3.652 0.998
-4.829 -2.495 0.250
-4.599 -4.451 2.855
-7.206 -8.515 4.105
-0.884 -4.261 2.736
0.000 0.000 0.000
-6.124 -3.983 1.295
```

Properties
Spin magnetization   0.00 μB per cell

---

Run two
The following is a DFT calculation (PBE-GGA) of an optimized crystal structure of BeTc2F.

The structure in POSCAR format:
```
BeTc2F
1.0
0.000 2.855 2.855
2.855 0.000 2.855
2.855 2.855 0.000
Tc F Be
2 1 1
Cartesian
1.427 1.427 1.427
4.282 4.282 4.282
2.855 2.855 2.855
0.000 0.000 0.000
```

Properties
Spin magnetization   0.77 μB per cell

---

Most stable structure, least stable structure: run two, run one.

---

Run one
The following is a DFT calculation (PBE-GGA) of an optimized crystal structure of BeTe2F.

The structure in POSCAR format:
```
BeTe2F
1.0
2.653 -2.231 6.854
5.441 -3.110 4.439
5.099 0.439 5.727
F Be Te
1 1 2
Cartesian
0.000 0.000 0.000
6.597 -2.451 8.510
11.818 -4.391 15.246
1.375 -0.511 1.774
```

Properties
Spin magnetization   0.00 μB per cell

---

Run two
The following is a DFT calculation (PBE-GGA) of an optimized crystal structure of BeTe2F.

The structure in POSCAR format:
```
BeTe2F
1.0
-6.166 -6.635 0.097
-3.681 -8.085 1.774
-5.814 -6.080 3.361
Te F Be
2 1 1
Cartesian
-14.285 -18.972 4.771
-1.376 -1.828 0.460
-7.831 -10.400 2.616
0.000 0.000 0.000
```

Properties
Spin magnetization   0.00 μB per cell

---

Run three
The following is a DFT calculation (PBE-GGA) of an optimized crystal structure of BeTe2F.

The structure in POSCAR format:
```
BeTe2F
1.0
5.087 0.000 0.000
0.000 5.087 0.000
2.543 2.543 7.185
Be F Te
2 2 4
Cartesian
2.543 2.543 0.000
2.543 5.087 3.592
5.087 2.543 3.592
0.000 0.000 0.000
3.455 1.272 1.796
1.632 3.815 1.796
3.815 4.175 5.389
6.358 5.998 5.389
```

Properties
Spin magnetization   0.00 μB per cell

---

Run four
The following is a DFT calculation (PBE-GGA) of an optimized crystal structure of BeTe2F.

The structure in POSCAR format:
```
BeTe2F
1.0
-0.340 -3.436 -3.095
-3.635 -2.876 0.119
-3.218 0.192 -3.333
Te Be F
2 1 1
Cartesian
-5.395 -4.590 -4.732
-1.798 -1.530 -1.577
0.000 0.000 0.000
-3.597 -3.060 -3.155
```

Properties
Spin magnetization   0.00 μB per cell

---

Most stable structure, least stable structure: run one, run two.